CrRe2Os PBE-GGA optimized geometry; polymorph energy (0 for the lowest one) = 36 meV/atom; space-group type = P4/mmm; total energy = -45.22 eV per formula unit; M_tot = 0.00 μB per formula unit; E_form = 0.1323 eV/atom
1.0
2.721 0.000 0.000
0.000 2.721 0.000
0.000 0.000 7.638
Cr Re Os
1 2 1
direct
0.500 0.500 0.250
0.000 0.000 0.008
0.000 0.000 0.492
0.500 0.500 0.750